Material: VF3
Method: DFT, GGA+U
State: optimized geometry

Energy, eV per atom: -5.898
V, Å³/atom: 12.9

a b c (Å): 2.8448 4.9249 4.6531
angles (deg): 121.95 107.80 90.00
Closest atoms and distances in Å follow each position.
Sites, in units of the cell vectors:
F 0.3366 0.7266 0.6731  2 V 2.03
F 0.5000 0.3348 0.0000  2 V 1.99
F 0.6634 0.0535 0.3269  2 V 2.03
V 0.0000 0.0518 0.0000  6 F 1.99-2.03